{
  "formula": "BaHgTe2",
  "functional": "PBE",
  "state": "relaxed",
  "cell": [[4.6913, 0.0000, 0.0000], [0.0000, 6.2261, 5.2519], [0.0000, -6.2261, 5.2519]],
  "species": ["Ba", "Ba", "Hg", "Hg", "Te", "Te", "Te", "Te"],
  "frac_coords": [[0.0000, 0.4490, 0.8695], [0.0000, 0.8695, 0.4490], [0.5000, 0.3853, 0.3853], [0.5000, 0.9780, 0.9780], [0.5000, 0.1809, 0.6151], [0.0000, 0.1307, 0.1307], [0.5000, 0.6151, 0.1809], [0.5000, 0.7126, 0.7126]],
  "density_g_cm3": 6.42,
  "sg": "Amm2, No. 38",
  "energy_ev_per_atom": -3.09,
  "vol_a3_per_cell": 306.8
}